Arrangement w

Computed, not measured: a relaxed structure of Ac3CdGa2 at the PBE level of DFT.

Cell: 3.935 3.935 12.136 Å, 90.00 90.00 90.00°
Fractional coordinates of all 6 atoms:
1 Ac 0.000 0.000 0.000
2 Ac 0.000 0.000 0.320
3 Ac 0.000 0.000 0.680
4 Cd 0.500 0.500 0.500
5 Ga 0.500 0.500 0.165
6 Ga 0.500 0.500 0.835

***

Arrangement x

Computed, not measured: a relaxed structure of Ac3CdGa2 at the PBE level of DFT.

Cell: 5.623 5.623 13.802 Å, 90.00 90.00 120.00°
Fractional coordinates of all 12 atoms:
1 Ac 0.000 0.000 0.241
2 Ac 0.000 0.000 0.759
3 Ac 0.333 0.667 0.417
4 Ac 0.333 0.667 0.925
5 Ac 0.667 0.333 0.075
6 Ac 0.667 0.333 0.583
7 Cd 0.333 0.667 0.672
8 Cd 0.667 0.333 0.328
9 Ga 0.000 0.000 0.000
10 Ga 0.000 0.000 0.500
11 Ga 0.333 0.667 0.173
12 Ga 0.667 0.333 0.827

***

The data favor arrangement w; the next most stable structure lies 8 meV per atom above it.

***

Arrangement w

Computed, not measured: a relaxed structure of Ac3CdGa at the PBE level of DFT.

Cell: 10.667 6.440 11.934 Å, 90.00 121.24 90.00°
Fractional coordinates of all 20 atoms:
1 Ac 0.002 0.069 0.159
2 Ac 0.002 0.431 0.659
3 Ac 0.350 0.677 0.945
4 Ac 0.350 0.823 0.445
5 Ac 0.380 0.124 0.157
6 Ac 0.380 0.376 0.657
7 Ac 0.620 0.624 0.343
8 Ac 0.620 0.876 0.843
9 Ac 0.650 0.177 0.555
10 Ac 0.650 0.323 0.055
11 Ac 0.998 0.569 0.341
12 Ac 0.998 0.931 0.841
13 Cd 0.156 0.597 0.117
14 Cd 0.156 0.903 0.617
15 Cd 0.844 0.097 0.383
16 Cd 0.844 0.403 0.883
17 Ga 0.303 0.156 0.854
18 Ga 0.303 0.344 0.354
19 Ga 0.697 0.656 0.646
20 Ga 0.697 0.844 0.146

***

Arrangement x

Computed, not measured: a relaxed structure of Ac3CdGa at the PBE level of DFT.

Cell: 11.027 11.027 5.710 Å, 90.00 90.00 150.01°
Fractional coordinates of all 10 atoms:
1 Ac 0.066 0.934 0.750
2 Ac 0.249 0.751 0.750
3 Ac 0.432 0.568 0.750
4 Ac 0.568 0.432 0.250
5 Ac 0.751 0.249 0.250
6 Ac 0.934 0.066 0.250
7 Cd 0.344 0.656 0.250
8 Cd 0.656 0.344 0.750
9 Ga 0.155 0.845 0.250
10 Ga 0.845 0.155 0.750

***

The data favor arrangement x; the next most stable structure lies 81 meV per atom above it.